Record 1
AcGdDyHg: relaxed, GGA-PBE.

Cell: 7.9135 7.9135 7.9135 Å, 90.00 90.00 90.00°
With the nearest neighbours (Å) after each atom.
Space group F-43m (No. 216)
Symmetry-distinct sites (fractional):
1 Ac 0.0000 0.0000 0.0000  4 Gd 3.43, 4 Dy 3.43
2 Gd 0.2500 0.2500 0.7500  4 Hg 3.43, 4 Ac 3.43
3 Dy 0.2500 0.2500 0.2500  4 Hg 3.43, 4 Ac 3.43
4 Hg 0.0000 0.0000 0.5000  4 Gd 3.43, 4 Dy 3.43

=====

Record 2
AcGdDyHo: relaxed, GGA-PBE.

Cell: 8.2465 8.2465 8.2465 Å, 90.00 90.00 90.00°
With the nearest neighbours (Å) after each atom.
Space group F-43m (No. 216)
Symmetry-distinct sites (fractional):
1 Ac 0.0000 0.0000 0.0000  4 Dy 3.57, 4 Ho 3.57
2 Gd 0.0000 0.0000 0.5000  4 Dy 3.57, 4 Ho 3.57
3 Dy 0.2500 0.2500 0.2500  4 Gd 3.57, 4 Ac 3.57
4 Ho 0.2500 0.2500 0.7500  4 Gd 3.57, 4 Ac 3.57

=====

Table of calculated formation energy (eV per atom), in record order: 0.03; 0.12
Table of VASP energy (eV/atom), in record order: -5.74; -6.73
Table of N(E_F) (states/eV/cell), in record order: 24.4; 28.6